1.
The following is a DFT calculation (PBE-GGA) of a relaxed BaNbAu crystal.

Properties
Its symmetry is P6_3/mmc, No. 194. The formation energy comes out at 3.04 eV/f.u. For the volume, the calculation gives 26.746 A^3/atom. For the energy above the most stable polymorph in this dataset, the calculation gives 1036 meV per atom. For the spin magnetization, the calculation gives 6.35 μB per cell.

Lattice parameters (Å, degrees): 5.282 5.282 6.643 90.00 90.00 120.00
Each line ends with the local moment (μB).
Positions (direct):
Nb (0.333, 0.667, 0.750)  2.27
Ba (0.333, 0.667, 0.250)  0.22
Nb (0.667, 0.333, 0.250)  2.28
Ba (0.667, 0.333, 0.750)  0.22
Au (0.000, 0.000, 0.000)  0.06
Au (0.000, 0.000, 0.500)  0.05

2.
The following is a DFT calculation (PBE-GGA) of a relaxed BaNbAu crystal.

Properties
Its symmetry is Pmmn, No. 59. The formation energy comes out at 0.01 eV/f.u. For the volume, the calculation gives 30.187 A^3/atom. For the energy above the most stable polymorph in this dataset, the calculation gives 28 meV per atom. For the spin magnetization, the calculation gives 0.00 μB per cell.

Lattice parameters (Å, degrees): 4.244 11.093 3.847 90.01 90.00 90.00
Positions (direct):
Ba (0.414, 0.882, 0.402)
Nb (0.414, 0.227, 0.902)
Au (0.414, 0.404, 0.402)
Ba (0.914, 0.540, 0.902)
Nb (0.914, 0.195, 0.402)
Au (0.914, 0.018, 0.902)

3.
The following is a DFT calculation (PBE-GGA) of a relaxed BaNbAu crystal.

Properties
Its symmetry is P4/nmm, No. 129. The formation energy comes out at 2.31 eV/f.u. For the volume, the calculation gives 25.708 A^3/atom. For the energy above the most stable polymorph in this dataset, the calculation gives 794 meV per atom. For the spin magnetization, the calculation gives 0.00 μB per cell.

Lattice parameters (Å, degrees): 4.317 4.317 8.275 90.00 90.00 90.00
Positions (direct):
Ba (0.500, 0.500, 0.500)
Ba (0.000, 0.000, 0.500)
Au (0.000, 0.500, 0.814)
Au (0.500, 0.000, 0.186)
Nb (0.000, 0.500, 0.120)
Nb (0.500, 0.000, 0.880)

4.
The following is a DFT calculation (PBE-GGA) of a relaxed BaNbAu crystal.

Properties
Its symmetry is P2_1/m, No. 11. The formation energy comes out at 0.28 eV/f.u. For the volume, the calculation gives 28.626 A^3/atom. For the energy above the most stable polymorph in this dataset, the calculation gives 116 meV per atom. For the spin magnetization, the calculation gives 0.00 μB per cell.

Lattice parameters (Å, degrees): 4.804 5.498 6.644 78.17 90.00 90.00
Positions (direct):
Ba (0.420, 0.713, 0.224)
Au (0.920, 0.417, 0.511)
Nb (0.420, 0.069, 0.636)
Ba (0.920, 0.251, 0.033)
Au (0.420, 0.548, 0.746)
Nb (0.920, 0.896, 0.621)